## ZnPd2 (GGA-PBE)

Data for a relaxed structure of ZnPd2.

a = 2.925 Å, b = 2.925 Å, c = 10.339 Å
α = 90.00°, β = 90.00°, γ = 90.00°
Space group P4/mmm (No. 123)
Symmetry-distinct sites (fractional):
1 Zn 0.000 0.000 0.164 [2 per cell]
2 Pd 0.000 0.000 0.500 [1 per cell]
3 Pd 0.500 0.500 0.000 [1 per cell]
4 Pd 0.500 0.500 0.316 [2 per cell]

Properties
For the electronic total energy, the calculation gives -4.2936 eV/atom. As for the volume: 88 Å³ per cell. The formation energy from the elements comes out at -0.41 eV per atom. As for the calculated density: 10.4 Mg/m³.


## ZnPd (GGA-PBE)

Data for a relaxed structure of ZnPd.

a = 5.083 Å, b = 5.083 Å, c = 5.083 Å
α = 90.00°, β = 90.00°, γ = 90.00°
Space group Fm-3m (No. 225)
Symmetry-distinct sites (fractional):
1 Zn 0.000 0.000 0.000 [4 per cell]
2 Pd 0.000 0.000 0.500 [4 per cell]

Properties
For the electronic total energy, the calculation gives -3.4581 eV/atom. As for the volume: 131 Å³ per cell. The formation energy from the elements comes out at -0.22 eV per atom. As for the calculated density: 8.7 Mg/m³.


## ZnPd (GGA-PBE)

Data for a relaxed structure of ZnPd.

a = 4.3316 Å, b = 4.3316 Å, c = 4.9963 Å
α = 90.00°, β = 90.00°, γ = 120.00°
Space group P6_3/mmc (No. 194)
Symmetry-distinct sites (fractional):
1 Zn 0.3333 0.6667 0.2500 [2 per cell]
2 Pd 0.3333 0.6667 0.7500 [2 per cell]

Properties
For the electronic total energy, the calculation gives -3.2243 eV/atom. As for the volume: 81 Å³ per cell. The formation energy from the elements comes out at 0.01 eV per atom. As for the calculated density: 7.0 Mg/m³.


## Zn7Pd (GGA-PBE)

Data for a relaxed structure of Zn7Pd.

a = 7.758 Å, b = 7.758 Å, c = 7.758 Å
α = 90.00°, β = 90.00°, γ = 90.00°
Space group Fm-3m (No. 225)
Symmetry-distinct sites (fractional):
1 Zn 0.000 0.000 0.000 [4 per cell]
2 Zn 0.000 0.250 0.250 [24 per cell]
3 Pd 0.000 0.000 0.500 [4 per cell]

Properties
For the electronic total energy, the calculation gives -1.9187 eV/atom. As for the volume: 467 Å³ per cell. The formation energy from the elements comes out at -0.15 eV per atom. As for the calculated density: 8.0 Mg/m³.


## Zn2Pd (GGA-PBE)

Data for a relaxed structure of Zn2Pd.

a = 3.156 Å, b = 3.156 Å, c = 8.744 Å
α = 90.00°, β = 90.00°, γ = 90.00°
Space group I4/mmm (No. 139)
Symmetry-distinct sites (fractional):
1 Zn 0.000 0.000 0.166 [4 per cell]
2 Pd 0.000 0.000 0.500 [2 per cell]

Properties
For the electronic total energy, the calculation gives -2.9525 eV/atom. As for the volume: 87 Å³ per cell. The formation energy from the elements comes out at -0.37 eV per atom. As for the calculated density: 9.0 Mg/m³.


## ZnPd3 (GGA-PBE)

Data for a relaxed structure of ZnPd3.

a = 2.977 Å, b = 4.504 Å, c = 8.951 Å
α = 90.00°, β = 90.00°, γ = 90.00°
Space group Immm (No. 71)
Symmetry-distinct sites (fractional):
1 Zn 0.000 0.000 0.000 [2 per cell]
2 Pd 0.000 0.000 0.500 [2 per cell]
3 Pd 0.000 0.500 0.266 [4 per cell]

Properties
For the electronic total energy, the calculation gives -4.5191 eV/atom. As for the volume: 120 Å³ per cell. The formation energy from the elements comes out at -0.31 eV per atom. As for the calculated density: 10.6 Mg/m³.


## Zn6Pd (GGA-PBE)

Data for a relaxed structure of Zn6Pd.

a = 6.063 Å, b = 6.063 Å, c = 6.063 Å
α = 90.00°, β = 90.00°, γ = 90.00°
Space group Pm-3m (No. 221)
Symmetry-distinct sites (fractional):
1 Zn 0.000 0.000 0.305 [6 per cell]
2 Pd 0.500 0.500 0.500 [1 per cell]

Properties
For the electronic total energy, the calculation gives -0.9544 eV/atom. Its polymorph energy (0 for the lowest one) is 921 meV/atom. As for the volume: 223 Å³ per cell. The formation energy from the elements comes out at 0.88 eV per atom. As for the calculated density: 3.7 Mg/m³.


## Zn2Pd (GGA-PBE)

Data for a relaxed structure of Zn2Pd.

a = 7.415 Å, b = 7.580 Å, c = 12.409 Å
α = 90.00°, β = 90.00°, γ = 90.00°
Space group Cmm2 (No. 35)
Symmetry-distinct sites (fractional):
1 Zn 0.000 0.000 0.000 [2 per cell]
2 Zn 0.000 0.000 0.326 [2 per cell]
3 Zn 0.000 0.000 0.663 [2 per cell]
4 Zn 0.000 0.277 0.822 [4 per cell]
5 Zn 0.000 0.500 0.992 [2 per cell]
6 Zn 0.217 0.500 0.499 [4 per cell]
7 Zn 0.223 0.500 0.163 [4 per cell]
8 Zn 0.250 0.250 0.329 [4 per cell]
9 Zn 0.250 0.250 0.661 [4 per cell]
10 Zn 0.250 0.250 0.996 [4 per cell]
11 Pd 0.000 0.214 0.491 [4 per cell]
12 Pd 0.000 0.225 0.163 [4 per cell]
13 Pd 0.000 0.500 0.331 [2 per cell]
14 Pd 0.000 0.500 0.661 [2 per cell]
15 Pd 0.220 0.000 0.836 [4 per cell]

Properties
For the electronic total energy, the calculation gives -3.0034 eV/atom. As for the volume: 697 Å³ per cell. The formation energy from the elements comes out at -0.42 eV per atom. As for the calculated density: 9.0 Mg/m³.


## Zn2Pd3 (GGA-PBE)

Data for a relaxed structure of Zn2Pd3.

a = 6.405 Å, b = 10.173 Å, c = 5.058 Å
α = 90.00°, β = 90.00°, γ = 90.00°
Space group Ibam (No. 72)
Symmetry-distinct sites (fractional):
1 Zn 0.245 0.163 0.000 [8 per cell]
2 Pd 0.000 0.500 0.250 [4 per cell]
3 Pd 0.145 0.099 0.500 [8 per cell]

Properties
For the electronic total energy, the calculation gives -3.8494 eV/atom. Its polymorph energy (0 for the lowest one) is 235 meV/atom. As for the volume: 330 Å³ per cell. The formation energy from the elements comes out at -0.22 eV per atom. As for the calculated density: 9.1 Mg/m³.


## Zn5Pd (GGA-PBE)

Data for a relaxed structure of Zn5Pd.

a = 3.899 Å, b = 8.158 Å, c = 5.488 Å
α = 90.00°, β = 90.90°, γ = 90.00°
Space group P2_1/m (No. 11)
Symmetry-distinct sites (fractional):
1 Zn 0.248 0.083 0.125 [4 per cell]
2 Zn 0.250 0.750 0.134 [2 per cell]
3 Zn 0.251 0.084 0.620 [4 per cell]
4 Pd 0.252 0.750 0.633 [2 per cell]

Properties
For the electronic total energy, the calculation gives -2.1361 eV/atom. As for the volume: 175 Å³ per cell. The formation energy from the elements comes out at -0.21 eV per atom. As for the calculated density: 8.2 Mg/m³.


## Zn6Pd (GGA-PBE)

Data for a relaxed structure of Zn6Pd.

a = 6.854 Å, b = 6.854 Å, c = 6.854 Å
α = 90.00°, β = 90.00°, γ = 90.00°
Space group Im-3m (No. 229)
Symmetry-distinct sites (fractional):
1 Zn 0.000 0.250 0.500 [12 per cell]
2 Pd 0.000 0.000 0.000 [2 per cell]

Properties
For the electronic total energy, the calculation gives -1.1755 eV/atom. Its polymorph energy (0 for the lowest one) is 700 meV/atom. As for the volume: 322 Å³ per cell. The formation energy from the elements comes out at 0.66 eV per atom. As for the calculated density: 5.1 Mg/m³.


## ZnPd3 (GGA-PBE)

Data for a relaxed structure of ZnPd3.

a = 5.5597 Å, b = 5.5597 Å, c = 4.4913 Å
α = 90.00°, β = 90.00°, γ = 120.00°
Space group P6_3/mmc (No. 194)
Symmetry-distinct sites (fractional):
1 Zn 0.3333 0.6667 0.2500 [2 per cell]
2 Pd 0.1680 0.3361 0.7500 [6 per cell]

Properties
For the electronic total energy, the calculation gives -4.5148 eV/atom. As for the volume: 120 Å³ per cell. The formation energy from the elements comes out at -0.30 eV per atom. As for the calculated density: 10.6 Mg/m³.


Repeat the eighth record exactly.
## Zn2Pd (GGA-PBE)

Data for a relaxed structure of Zn2Pd.

a = 7.415 Å, b = 7.580 Å, c = 12.409 Å
α = 90.00°, β = 90.00°, γ = 90.00°
Space group Cmm2 (No. 35)
Symmetry-distinct sites (fractional):
1 Zn 0.000 0.000 0.000 [2 per cell]
2 Zn 0.000 0.000 0.326 [2 per cell]
3 Zn 0.000 0.000 0.663 [2 per cell]
4 Zn 0.000 0.277 0.822 [4 per cell]
5 Zn 0.000 0.500 0.992 [2 per cell]
6 Zn 0.217 0.500 0.499 [4 per cell]
7 Zn 0.223 0.500 0.163 [4 per cell]
8 Zn 0.250 0.250 0.329 [4 per cell]
9 Zn 0.250 0.250 0.661 [4 per cell]
10 Zn 0.250 0.250 0.996 [4 per cell]
11 Pd 0.000 0.214 0.491 [4 per cell]
12 Pd 0.000 0.225 0.163 [4 per cell]
13 Pd 0.000 0.500 0.331 [2 per cell]
14 Pd 0.000 0.500 0.661 [2 per cell]
15 Pd 0.220 0.000 0.836 [4 per cell]

Properties
For the electronic total energy, the calculation gives -3.0034 eV/atom. As for the volume: 697 Å³ per cell. The formation energy from the elements comes out at -0.42 eV per atom. As for the calculated density: 9.0 Mg/m³.


- What is the calculated density in the ninth record?
  9.1 Mg/m³